1.
The following is a PBE-GGA calculation of a relaxed PrTiNi crystal, from Alexandria via LeMat-Bulk.

Geometry as POSCAR:
```
PrTiNi
1.0
2.334 -2.342 0.000
2.334 2.342 0.000
0.000 0.000 11.035
Pr Ti Ni
2 2 2
Direct
0.000 0.000 0.167 Pr
0.000 0.000 0.833 Pr
0.500 0.500 0.385 Ti
0.500 0.500 0.615 Ti
0.000 0.000 0.500 Ni
0.500 0.500 0.000 Ni
```

## Properties
Total magnetization   0.0 μB per cell
E   -36.7 eV for the cell shown
ΔH_f (0 K)   0.034 eV per atom
DOS at the Fermi energy   9.31 states/eV/cell

=====

2.
The following is a PBE-GGA calculation of a relaxed PrTiNi2 crystal, from Alexandria via LeMat-Bulk.

Geometry as POSCAR:
```
PrTiNi2
1.0
2.103 1.214 4.953
-2.103 1.214 4.953
0.000 -2.429 4.953
Pr Ti Ni
1 1 2
Direct
0.000 0.000 0.000 Pr
0.500 0.500 0.500 Ti
0.201 0.201 0.201 Ni
0.799 0.799 0.799 Ni
```

## Properties
Total magnetization   0.0 μB per cell
E   -25.4 eV for the cell shown
Offset from the most stable computed form   0 meV/atom
ΔH_f (0 K)   -0.295 eV per atom
DOS at the Fermi energy   4.34 states/eV/cell

=====

3.
The following is a PBE-GGA calculation of a relaxed PrTlNi crystal, from Alexandria via LeMat-Bulk.

Geometry as POSCAR:
```
PrTlNi
1.0
1.918 -8.673 0.000
1.918 8.673 0.000
0.000 0.000 4.310
Pr Tl Ni
2 2 2
Direct
0.089 0.911 0.750 Pr
0.911 0.089 0.250 Pr
0.297 0.703 0.750 Tl
0.703 0.297 0.250 Tl
0.461 0.539 0.750 Ni
0.539 0.461 0.250 Ni
```

## Properties
Total magnetization   0.0 μB per cell
E   -27.7 eV for the cell shown
ΔH_f (0 K)   -0.310 eV per atom
DOS at the Fermi energy   4.51 states/eV/cell